w:
AcDyGa | the Alexandria database | PBE | optimized geometry; DOS(E_F) = 0.734 states/eV/atom; crystal system = tetragonal; SG = I4mm (107); calculated volume = 30.8 Å³/atom
1.0
-1.8558 1.8558 6.7008
1.8558 -1.8558 6.7008
1.8558 1.8558 -6.7008
Ac Dy Ga
1 1 1
direct
0.0000 0.0000 0.0000
0.2844 0.2844 0.0000
0.6646 0.6646 0.0000


x:
AcDyGa | the Alexandria database | PBE | optimized geometry; DOS(E_F) = 1.423 states/eV/atom; crystal system = cubic; SG = F-43m (216); calculated volume = 33.2 Å³/atom
1.0
0.0000 3.6805 3.6805
3.6805 0.0000 3.6805
3.6805 3.6805 0.0000
Ac Dy Ga
1 1 1
direct
0.0000 0.0000 0.0000
0.5000 0.5000 0.5000
0.7500 0.7500 0.7500


y:
AcDyGa | the Alexandria database | PBE | optimized geometry; DOS(E_F) = 1.210 states/eV/atom; crystal system = hexagonal; SG = P-6m2 (187); calculated volume = 31.9 Å³/atom
1.0
4.9718 0.0000 0.0000
-2.4859 4.3057 0.0000
0.0000 0.0000 4.4714
Ac Dy Ga
1 1 1
direct
0.0000 0.0000 0.0000
0.6667 0.3333 0.5000
0.3333 0.6667 0.5000


z:
AcDyGa | the Alexandria database | PBE | optimized geometry; DOS(E_F) = 1.249 states/eV/atom; crystal system = tetragonal; SG = P4/nmm (129); calculated volume = 31.1 Å³/atom
1.0
4.8188 0.0000 0.0000
0.0000 4.8188 0.0000
0.0000 0.0000 8.0262
Ac Dy Ga
2 2 2
direct
0.2500 0.2500 0.1410
0.7500 0.7500 0.8590
0.2500 0.7500 0.5000
0.7500 0.2500 0.5000
0.2500 0.2500 0.7347
0.7500 0.7500 0.2653


Energy comparison, zero being the most stable, in eV/atom: w 0.077; x 0.192; y 0.126; z 0.000.


w:
AcDyGa4 | the Alexandria database | PBE | optimized geometry; DOS(E_F) = 0.617 states/eV/atom; crystal system = tetragonal; SG = I-4m2 (119); calculated volume = 23.7 Å³/atom
1.0
-2.1746 2.1746 7.5244
2.1746 -2.1746 7.5244
2.1746 2.1746 -7.5244
Ac Dy Ga
1 1 4
direct
0.0000 0.0000 0.0000
0.7500 0.2500 0.5000
0.1696 0.6696 0.5000
0.3304 0.8304 0.5000
0.4127 0.4127 0.0000
0.5873 0.5873 0.0000


x:
AcDyGa4 | the Alexandria database | PBE | optimized geometry; DOS(E_F) = 0.775 states/eV/atom; crystal system = cubic; SG = F-43m (216); calculated volume = 22.0 Å³/atom
1.0
0.0000 4.0420 4.0420
4.0420 0.0000 4.0420
4.0420 4.0420 0.0000
Ac Dy Ga
1 1 4
direct
0.0000 0.0000 0.0000
0.7500 0.7500 0.7500
0.3753 0.3753 0.3753
0.3753 0.3753 0.8741
0.3753 0.8741 0.3753
0.8741 0.3753 0.3753


Energy comparison, zero being the most stable, in eV/atom: w 0.000; x 0.141.


w:
AcDy2Ga6 | the Alexandria database | PBE | optimized geometry; DOS(E_F) = 0.633 states/eV/atom; crystal system = hexagonal; SG = P6/mmm (191); calculated volume = 22.9 Å³/atom
1.0
7.4104 0.0000 0.0000
-3.7052 6.4176 0.0000
0.0000 0.0000 4.3356
Ac Dy Ga
1 2 6
direct
0.0000 0.0000 0.0000
0.3333 0.6667 0.0000
0.6667 0.3333 0.0000
0.0000 0.3377 0.5000
0.0000 0.6623 0.5000
0.3377 0.0000 0.5000
0.3377 0.3377 0.5000
0.6623 0.0000 0.5000
0.6623 0.6623 0.5000


x:
AcDy2Ga6 | the Alexandria database | PBE | optimized geometry; DOS(E_F) = 0.403 states/eV/atom; crystal system = orthorhombic; SG = Immm (71); calculated volume = 23.7 Å³/atom
1.0
-2.2178 3.7061 6.4912
2.2178 -3.7061 6.4912
2.2178 3.7061 -6.4912
Ac Dy Ga
1 2 6
direct
0.0000 0.0000 0.0000
0.3726 0.8726 0.5000
0.6274 0.1274 0.5000
0.0170 0.3136 0.7034
0.3281 0.5000 0.8281
0.3898 0.6864 0.7034
0.6102 0.3136 0.2966
0.6719 0.5000 0.1719
0.9830 0.6864 0.2966


Energy comparison, zero being the most stable, in eV/atom: w 0.000; x 0.105.


w:
Ac2GdDy | the Alexandria database | PBE | optimized geometry; DOS(E_F) = 1.875 states/eV/atom; crystal system = cubic; SG = Fm-3m (225); calculated volume = 38.2 Å³/atom
1.0
0.0000 4.2425 4.2425
4.2425 0.0000 4.2425
4.2425 4.2425 0.0000
Ac Gd Dy
2 1 1
direct
0.2500 0.2500 0.2500
0.7500 0.7500 0.7500
0.0000 0.0000 0.0000
0.5000 0.5000 0.5000


x:
Ac2GdDy | the Alexandria database | PBE | optimized geometry; DOS(E_F) = 1.507 states/eV/atom; crystal system = tetragonal; SG = P4/mmm (123); calculated volume = 38.0 Å³/atom
1.0
3.8491 0.0000 0.0000
0.0000 3.8491 0.0000
0.0000 0.0000 10.2570
Ac Gd Dy
2 1 1
direct
0.0000 0.0000 0.2472
0.0000 0.0000 0.7528
0.5000 0.5000 0.5000
0.5000 0.5000 0.0000


y:
Ac2GdDy | the Alexandria database | PBE | optimized geometry; DOS(E_F) = 1.835 states/eV/atom; crystal system = trigonal; SG = R-3m (166); calculated volume = 39.1 Å³/atom
1.0
1.8576 1.0725 13.0693
-1.8576 1.0725 13.0693
0.0000 -2.1450 13.0693
Ac Gd Dy
2 1 1
direct
0.0883 0.0883 0.0883
0.9117 0.9117 0.9117
0.5000 0.5000 0.5000
0.0000 0.0000 0.0000


Energy comparison, zero being the most stable, in eV/atom: w 0.051; x 0.000; y 0.200.